1.
A plane-wave DFT calculation with GGA-PBE was carried out for LiSm2Al3Au4 after structural relaxation.

Computed properties:
Theoretical density = 9.63 Mg/m³
Total DFT energy (no corrections) = -4.25 eV per atom
Symmetry = P-4m2, No. 115
Energy of formation = -0.68 eV/atom
Spin magnetization = 0.000 μB/f.u.

a b c (Å): 4.4338 4.4338 10.3210
angles (deg): 90.00 90.00 90.00
Last column: nearest neighbours and their distance in Å.
Fractional coordinates of all 10 atoms:
Au  0.0000  0.0000  0.0000  4 Al 2.60
Au  0.5000  0.5000  0.0000  4 Al 2.60
Au  0.0000  0.5000  0.3732  3 Al 2.49-2.57, 2 Li 2.57
Au  0.5000  0.0000  0.6268  3 Al 2.49-2.57, 2 Li 2.57
Sm  0.0000  0.5000  0.7555  6 Al 3.34-3.44, 8 Au 3.36-3.40, 2 Li 3.44
Sm  0.5000  0.0000  0.2445  6 Al 3.34-3.44, 8 Au 3.36-3.40, 2 Li 3.44
Al  0.0000  0.5000  0.1323  5 Au 2.49-2.60
Al  0.0000  0.0000  0.5000  4 Au 2.57
Al  0.5000  0.0000  0.8677  5 Au 2.49-2.60
Li  0.5000  0.5000  0.5000  4 Au 2.57

2.
A plane-wave DFT calculation with GGA-PBE was carried out for LiSm2AlAu6 after structural relaxation.

Computed properties:
Theoretical density = 11.46 Mg/m³
Total DFT energy (no corrections) = -3.96 eV per atom
Symmetry = P-1, No. 2
Energy of formation = -0.48 eV/atom
Spin magnetization = 0.000 μB/f.u.

a b c (Å): 6.9284 6.8434 6.6835
angles (deg): 52.53 65.44 87.05
Last column: nearest neighbours and their distance in Å.
Fractional coordinates of all 10 atoms:
Au  0.2281  0.2441  0.0362  1 Li 2.47, 1 Al 2.54
Au  0.3406  0.8392  0.9848  1 Li 2.48, 1 Al 2.54
Au  0.3183  0.3657  0.4945  1 Li 2.51, 1 Al 2.57
Au  0.6594  0.1608  0.0152  1 Li 2.48, 1 Al 2.54
Au  0.6817  0.6343  0.5055  1 Li 2.51, 1 Al 2.57
Au  0.7719  0.7559  0.9638  1 Li 2.47, 1 Al 2.54
Sm  0.2221  0.7908  0.5863  7 Au 2.99-3.30
Sm  0.7779  0.2092  0.4137  7 Au 2.99-3.30
Al  0.0000  0.0000  0.0000  6 Au 2.54-2.57
Li  0.5000  0.5000  0.0000  6 Au 2.47-2.51